An optimized crystal structure of Li4DyMg. Source: the Alexandria database, functional GGA-PBE.

Lattice parameters (Å, degrees): 5.651 5.651 5.651 60.00 60.00 60.00
Positions (direct):
1 Li 0.376 0.376 0.376
2 Li 0.376 0.376 0.871
3 Li 0.376 0.871 0.376
4 Li 0.871 0.376 0.376
5 Dy 0.000 0.000 0.000
6 Mg 0.750 0.750 0.750

Calculated values
- energy relative to the elements (eV/atom) = 0.028
- magnetic moment (μB per formula unit) = 0.0
- symmetry = F-43m